Record 1
# TbPmErIn, relaxed, DFT PBE-GGA
# - raw total energy (eV/atom) = -4.268
# - DOS at the Fermi energy (states/eV/f.u.) = 5.69
data_TbPmErIn
_chemical_formula_sum 'Tb2 Pm2 Er2 In2'
_space_group_name_H-M_alt 'I -4 m 2'
_space_group_IT_number 119
_space_group_name_Hall 'I -4 -2'
_cell_length_a 5.4735
_cell_length_b 5.4735
_cell_length_c 7.7562
_cell_angle_alpha 90.00
_cell_angle_beta 90.00
_cell_angle_gamma 90.00
loop_
_atom_site_label
_atom_site_type_symbol
_atom_site_fract_x
_atom_site_fract_y
_atom_site_fract_z
_atom_site_occupancy
Tb1 Tb 0.0000 0.0000 0.0000 1
Pm1 Pm 0.0000 0.5000 0.2500 1
Er1 Er 0.0000 0.0000 0.5000 1
In1 In 0.0000 0.5000 0.7500 1



Record 2
# Tb3Pm6Er2In, relaxed, DFT PBE-GGA
# - raw total energy (eV/atom) = -4.555
# - DOS at the Fermi energy (states/eV/f.u.) = 13.99
data_Tb3Pm6Er2In
_chemical_formula_sum 'Tb6 Pm12 Er4 In2'
_space_group_name_H-M_alt 'C 1 2/m 1'
_space_group_IT_number 12
_space_group_name_Hall '-C 2y'
_cell_length_a 6.1805
_cell_length_b 10.7334
_cell_length_c 11.7509
_cell_angle_alpha 90.00
_cell_angle_beta 100.25
_cell_angle_gamma 90.00
loop_
_atom_site_label
_atom_site_type_symbol
_atom_site_fract_x
_atom_site_fract_y
_atom_site_fract_z
_atom_site_occupancy
Tb1 Tb 0.0000 0.0000 0.0000 1
Tb2 Tb 0.0000 0.3320 0.0000 1
Pm1 Pm 0.2452 0.3361 0.7458 1
Pm2 Pm 0.2457 0.5000 0.2525 1
Er1 Er 0.0000 0.1662 0.5000 1
In1 In 0.0000 0.5000 0.5000 1



Record 3
# Tb6Pm3Er2In, relaxed, DFT PBE-GGA
# - raw total energy (eV/atom) = -4.528
# - DOS at the Fermi energy (states/eV/f.u.) = 16.17
data_Tb6Pm3Er2In
_chemical_formula_sum 'Tb12 Pm6 Er4 In2'
_space_group_name_H-M_alt 'C 1 2/m 1'
_space_group_IT_number 12
_space_group_name_Hall '-C 2y'
_cell_length_a 6.1480
_cell_length_b 10.6612
_cell_length_c 11.6602
_cell_angle_alpha 90.00
_cell_angle_beta 100.21
_cell_angle_gamma 90.00
loop_
_atom_site_label
_atom_site_type_symbol
_atom_site_fract_x
_atom_site_fract_y
_atom_site_fract_z
_atom_site_occupancy
Tb1 Tb 0.2438 0.1639 0.2429 1
Tb2 Tb 0.2478 0.0000 0.7555 1
Pm1 Pm 0.0000 0.1675 0.5000 1
Pm2 Pm 0.0000 0.5000 0.5000 1
Er1 Er 0.0000 0.3341 0.0000 1
In1 In 0.0000 0.0000 0.0000 1



Record 4
# TbPmErIn, relaxed, DFT PBE-GGA
# - raw total energy (eV/atom) = -4.316
# - DOS at the Fermi energy (states/eV/f.u.) = 6.84
data_TbPmErIn
_chemical_formula_sum 'Tb4 Pm4 Er4 In4'
_space_group_name_H-M_alt 'F -4 3 m'
_space_group_IT_number 216
_space_group_name_Hall 'F -4 2 3'
_cell_length_a 7.7588
_cell_length_b 7.7588
_cell_length_c 7.7588
_cell_angle_alpha 90.00
_cell_angle_beta 90.00
_cell_angle_gamma 90.00
loop_
_atom_site_label
_atom_site_type_symbol
_atom_site_fract_x
_atom_site_fract_y
_atom_site_fract_z
_atom_site_occupancy
Tb1 Tb 0.0000 0.0000 0.0000 1
Pm1 Pm 0.0000 0.0000 0.5000 1
Er1 Er 0.2500 0.2500 0.2500 1
In1 In 0.2500 0.2500 0.7500 1



Record 5
# PmErIn2Te4, relaxed, DFT PBE-GGA
# - DOS at the Fermi energy (states/eV/f.u.) = 0.32
# - energy relative to the elements, uncorrected (eV/atom) = -0.971
data_PmErIn2Te4
_chemical_formula_sum 'Pm1 Er1 In2 Te4'
_space_group_name_H-M_alt 'P 1 2/m 1'
_space_group_IT_number 10
_space_group_name_Hall '-P 2y'
_cell_length_a 7.6973
_cell_length_b 4.4416
_cell_length_c 8.5015
_cell_angle_alpha 90.00
_cell_angle_beta 107.52
_cell_angle_gamma 90.00
loop_
_atom_site_label
_atom_site_type_symbol
_atom_site_fract_x
_atom_site_fract_y
_atom_site_fract_z
_atom_site_occupancy
Pm1 Pm 0.0000 0.0000 0.0000 1
Er1 Er 0.5000 0.5000 0.0000 1
In1 In 0.0000 0.5000 0.5000 1
In2 In 0.5000 0.0000 0.5000 1
Te1 Te 0.2485 0.5000 0.2234 1
Te2 Te 0.2677 0.0000 0.7811 1



Record 6
# Pm2ErIn3Te6, relaxed, DFT PBE-GGA
# - DOS at the Fermi energy (states/eV/f.u.) = 1.21
# - energy relative to the elements, uncorrected (eV/atom) = -0.978
data_Pm2ErIn3Te6
_chemical_formula_sum 'Pm4 Er2 In6 Te12'
_space_group_name_H-M_alt 'C 1 2/m 1'
_space_group_IT_number 12
_space_group_name_Hall '-C 2y'
_cell_length_a 7.7312
_cell_length_b 13.3864
_cell_length_c 8.5097
_cell_angle_alpha 90.00
_cell_angle_beta 107.63
_cell_angle_gamma 90.00
loop_
_atom_site_label
_atom_site_type_symbol
_atom_site_fract_x
_atom_site_fract_y
_atom_site_fract_z
_atom_site_occupancy
Pm1 Pm 0.0000 0.1663 0.0000 1
Er1 Er 0.0000 0.5000 0.0000 1
In1 In 0.0000 0.0000 0.5000 1
In2 In 0.0000 0.3309 0.5000 1
Te1 Te 0.2365 0.3372 0.2214 1
Te2 Te 0.2494 0.0000 0.2240 1



Record 7
# PmErThIn, relaxed, DFT PBE-GGA
# - raw total energy (eV/atom) = -4.898
# - DOS at the Fermi energy (states/eV/f.u.) = 6.97
data_PmErThIn
_chemical_formula_sum 'Pm4 Er4 Th4 In4'
_space_group_name_H-M_alt 'F -4 3 m'
_space_group_IT_number 216
_space_group_name_Hall 'F -4 2 3'
_cell_length_a 7.7624
_cell_length_b 7.7624
_cell_length_c 7.7624
_cell_angle_alpha 90.00
_cell_angle_beta 90.00
_cell_angle_gamma 90.00
loop_
_atom_site_label
_atom_site_type_symbol
_atom_site_fract_x
_atom_site_fract_y
_atom_site_fract_z
_atom_site_occupancy
Pm1 Pm 0.0000 0.0000 0.0000 1
Er1 Er 0.0000 0.0000 0.5000 1
Th1 Th 0.2500 0.2500 0.2500 1
In1 In 0.2500 0.2500 0.7500 1



Record 8
# PmErTiIn, relaxed, DFT PBE-GGA
# - raw total energy (eV/atom) = -5.060
# - DOS at the Fermi energy (states/eV/f.u.) = 5.31
data_PmErTiIn
_chemical_formula_sum 'Pm4 Er4 Ti4 In4'
_space_group_name_H-M_alt 'F -4 3 m'
_space_group_IT_number 216
_space_group_name_Hall 'F -4 2 3'
_cell_length_a 7.4844
_cell_length_b 7.4844
_cell_length_c 7.4844
_cell_angle_alpha 90.00
_cell_angle_beta 90.00
_cell_angle_gamma 90.00
loop_
_atom_site_label
_atom_site_type_symbol
_atom_site_fract_x
_atom_site_fract_y
_atom_site_fract_z
_atom_site_occupancy
Pm1 Pm 0.0000 0.0000 0.0000 1
Er1 Er 0.0000 0.0000 0.5000 1
Ti1 Ti 0.2500 0.2500 0.2500 1
In1 In 0.2500 0.2500 0.7500 1